Entry 1:
Here is a relaxed structure of Dy3Te2S from Alexandria. Energies are from GGA-PBE.

Properties
formation energy (no corrections) = -1.519 eV/atom

a b c (Å): 7.2449 12.5455 7.3761
angles (deg): 90.00 109.09 90.00
With the nearest neighbours (Å) after each atom.
Space group C2/m (No. 12)
Unique sites:
Dy: 0.2067 0.0000 0.2065  2 S 2.75, 2 Te 2.99-3.01
Dy: 0.2464 0.1805 0.7845  2 S 2.75-2.76, 2 Te 3.02-3.05
Te: 0.0000 0.0000 0.5000  6 Dy 3.01-3.20
Te: 0.0000 0.3433 0.5000  6 Dy 3.05-3.22
Te: 0.0000 0.5000 0.0000  6 Dy 2.99-3.02
S: 0.0000 0.1688 0.0000  6 Dy 2.75-2.76



Entry 2:
Here is a relaxed structure of DyTeS from Alexandria. Energies are from GGA-PBE.

Properties
formation energy (no corrections) = -1.506 eV/atom

a b c (Å): 4.1467 5.6571 13.5472
angles (deg): 90.00 90.00 90.00
With the nearest neighbours (Å) after each atom.
Space group Immm (No. 71)
Unique sites:
Dy: 0.0000 0.0000 0.1611  4 S 2.67-2.92
Te: 0.0000 0.2467 0.5000  2 Te 2.79-2.87
S: 0.0000 0.5000 0.2145  4 Dy 2.67-2.92



Entry 3:
Here is a relaxed structure of DyTeS from Alexandria. Energies are from GGA-PBE.

Properties
formation energy (no corrections) = -1.059 eV/atom

a b c (Å): 5.7282 5.7282 11.1591
angles (deg): 90.00 90.00 90.00
With the nearest neighbours (Å) after each atom.
Space group I4_1md (No. 109)
Unique sites:
Dy: 0.0000 0.0000 0.0000  3 S 2.58-2.87
Te: 0.0000 0.0000 0.3023  2 Dy 2.92
S: 0.0000 0.0000 0.7684  3 Dy 2.58-2.87



Entry 4:
Here is a relaxed structure of DyTeS from Alexandria. Energies are from GGA-PBE.

Properties
formation energy (no corrections) = -1.324 eV/atom

a b c (Å): 3.6890 3.5757 12.8673
angles (deg): 90.00 90.00 90.00
With the nearest neighbours (Å) after each atom.
Space group Amm2 (No. 38)
Unique sites:
Dy: 0.0000 0.0000 0.0000  4 S 2.70
Te: 0.0000 0.0000 0.2954  2 Dy 3.18
S: 0.5000 0.0000 0.5640  4 Dy 2.70



Entry 5:
Here is a relaxed structure of Dy4Te2S3 from Alexandria. Energies are from GGA-PBE.

Properties
formation energy (no corrections) = -1.687 eV/atom

a b c (Å): 7.4912 15.6520 7.4120
angles (deg): 90.00 90.00 90.00
With the nearest neighbours (Å) after each atom.
Space group Cmce (No. 64)
Unique sites:
Dy: 0.0000 0.1991 0.0335  5 S 2.82-3.13, 1 Te 3.15
Dy: 0.2500 0.0342 0.7500  3 S 2.69-2.77
Te: 0.0000 0.1066 0.4232  6 Dy 3.15-3.27, 2 S 3.47
S: 0.0000 0.0000 0.0000  4 Dy 2.69
S: 0.2500 0.2112 0.7500  5 Dy 2.77-2.84



Entry 6:
Here is a relaxed structure of DyTeS from Alexandria. Energies are from GGA-PBE.

Properties
formation energy (no corrections) = -1.256 eV/atom

a b c (Å): 3.4733 3.4733 14.3636
angles (deg): 90.00 90.00 90.00
With the nearest neighbours (Å) after each atom.
Space group I4mm (No. 107)
Unique sites:
Dy: 0.0000 0.0000 0.0000  4 S 2.72
Te: 0.0000 0.0000 0.3312  4 Dy 3.45, 4 Te 3.47, 1 S 3.60
S: 0.0000 0.0000 0.5818  4 Dy 2.72



no.,spin magnetization (μB/f.u.)
1,0.000
2,0.000
3,0.392
4,0.000
5,0.000
6,0.000